# 1
## BeAu2 (GGA-PBE)

Data for crystalline BeAu2 at its relaxed geometry.

```
BeAu2
1.0
0.0000 3.8172 3.8172
3.8172 0.0000 3.8172
3.8172 3.8172 0.0000
Be Au
2 4
Direct
0.1250 0.1250 0.1250
0.8750 0.8750 0.8750
0.0000 0.5000 0.5000
0.5000 0.0000 0.5000
0.5000 0.5000 0.0000
0.5000 0.5000 0.5000
```

**Total DFT energy (no corrections)**: -2.807 eV/atom
**E above lowest polymorph**: 757 meV per atom

# 2
## BeAu2 (GGA-PBE)

Data for crystalline BeAu2 at its relaxed geometry.

```
BeAu2
1.0
0.0000 5.0536 5.0536
5.0536 0.0000 5.0536
5.0536 5.0536 0.0000
Be Au
2 4
Direct
0.1250 0.1250 0.1250
0.8750 0.8750 0.8750
0.0000 0.0000 0.0000
0.0000 0.0000 0.5000
0.0000 0.5000 0.0000
0.5000 0.0000 0.0000
```

**Total DFT energy (no corrections)**: -2.568 eV/atom
**E above lowest polymorph**: 996 meV per atom

# 3
## BeAu5 (GGA-PBE)

Data for crystalline BeAu5 at its relaxed geometry.

```
BeAu5
1.0
5.4229 0.0000 0.0000
-2.7115 4.6964 0.0000
0.0000 0.0000 4.7611
Be Au
1 5
Direct
0.0000 0.0000 0.0000
0.0000 0.5000 0.5000
0.3333 0.6667 0.0000
0.5000 0.0000 0.5000
0.5000 0.5000 0.5000
0.6667 0.3333 0.0000
```

**Total DFT energy (no corrections)**: -2.937 eV/atom

# 4
## Be2BiAu (GGA-PBE)

Data for crystalline Be2BiAu at its relaxed geometry.

```
Be2BiAu
1.0
0.0000 3.3107 3.3107
3.3107 0.0000 3.3107
3.3107 3.3107 0.0000
Be Bi Au
2 1 1
Direct
0.0000 0.0000 0.0000
0.2500 0.2500 0.2500
0.5000 0.5000 0.5000
0.7500 0.7500 0.7500
```

**Total DFT energy (no corrections)**: -2.959 eV/atom

# 5
## BeBi2Au (GGA-PBE)

Data for crystalline BeBi2Au at its relaxed geometry.

```
BeBi2Au
1.0
0.0000 3.6175 3.6175
3.6175 0.0000 3.6175
3.6175 3.6175 0.0000
Be Bi Au
1 2 1
Direct
0.0000 0.0000 0.0000
0.5000 0.5000 0.5000
0.7500 0.7500 0.7500
0.2500 0.2500 0.2500
```

**Total DFT energy (no corrections)**: -3.193 eV/atom

# 6
## BeCdAu (GGA-PBE)

Data for crystalline BeCdAu at its relaxed geometry.

```
BeCdAu
1.0
0.0000 2.9397 2.9397
2.9397 0.0000 2.9397
2.9397 2.9397 0.0000
Be Cd Au
1 1 1
Direct
0.0000 0.0000 0.0000
0.2500 0.2500 0.2500
0.7500 0.7500 0.7500
```

**Total DFT energy (no corrections)**: -2.578 eV/atom
**E above lowest polymorph**: 0 meV per atom